# 1
# LiCu3MoS4

A relaxed LiCu3MoS4 crystal (PBE-GGA, OQMD via LeMat-Bulk).

Cell lengths 5.5092, 5.5092, 5.5092 Å; angles 90.00, 90.00, 90.00 degrees
Sites, in units of the cell vectors:
Li1 0.0000 0.0000 0.0000
Cu1 0.0000 0.5000 0.5000
Cu2 0.5000 0.0000 0.5000
Cu3 0.5000 0.5000 0.0000
Mo1 0.5000 0.5000 0.5000
S1 0.2566 0.2566 0.2566
S2 0.2566 0.7434 0.7434
S3 0.7434 0.2566 0.7434
S4 0.7434 0.7434 0.2566

Space group: No. 215

=====

# 2
# CsKTl4Pt2

A relaxed CsKTl4Pt2 crystal (PBE-GGA, OQMD via LeMat-Bulk).

Cell lengths 8.4905, 6.8563, 6.8563 Å; angles 38.58, 90.00, 90.00 degrees
Sites, in units of the cell vectors:
Cs1 0.0000 0.0000 0.0000
K1 0.5000 0.0981 0.0981
Tl1 0.2002 0.7100 0.7100
Tl2 0.3071 0.3840 0.3840
Tl3 0.6929 0.3840 0.3840
Tl4 0.7998 0.7100 0.7100
Pt1 0.0000 0.2702 0.2702
Pt2 0.5000 0.8243 0.8243

Space group: No. 38

=====

Total DFT energy (no corrections) values (in eV per atom) by entry order: -4.89; -3.10.